Entry 1:
AlAs2IrBr | PBE | relaxed

The calculation puts the energy above the most stable polymorph in this dataset at 548 meV/atom. The calculation puts the density of states at the Fermi level at 2.77 states/eV per cell.

The structure belongs to space group P4/mmm (No. 123); the cell edges are 4.792, 4.792 and 4.741 Å and the angles 90.00°, 90.00° and 90.00°. The asymmetric unit holds Al at (0.000, 0.000, 0.000), As at (0.000, 0.500, 0.000), Ir at (0.500, 0.500, 0.500) and Br at (0.000, 0.000, 0.500).

---

Entry 2:
KAlAsBr2 | PBE | relaxed

The calculation puts the energy above the most stable polymorph in this dataset at 0 meV/atom. The calculation puts the density of states at the Fermi level at 2.37 states/eV per cell.

The structure belongs to space group P4/mmm (No. 123); the cell edges are 5.479, 5.479 and 4.866 Å and the angles 90.00°, 90.00° and 90.00°. The asymmetric unit holds K at (0.000, 0.000, 0.000), Al at (0.500, 0.500, 0.500), As at (0.500, 0.500, 0.000) and Br at (0.000, 0.500, 0.500).

---

Entry 3:
KAlAsBr2 | PBE | relaxed

The calculation puts the energy above the most stable polymorph in this dataset at 857 meV/atom.

The structure belongs to space group P4/mmm (No. 123); the cell edges are 6.125, 6.125 and 6.131 Å and the angles 90.00°, 90.00° and 90.00°. The asymmetric unit holds K at (0.000, 0.000, 0.000), Al at (0.500, 0.500, 0.500), As at (0.000, 0.000, 0.500) and Br at (0.000, 0.500, 0.000).

---

Entry 4:
KAlAs2Br | PBE | relaxed

The calculation puts the energy above the most stable polymorph in this dataset at 1199 meV/atom. The calculation puts the density of states at the Fermi level at 2.47 states/eV per cell.

The structure belongs to space group P4/mmm (No. 123); the cell edges are 6.267, 6.267 and 5.937 Å and the angles 90.00°, 90.00° and 90.00°. The asymmetric unit holds K at (0.000, 0.000, 0.000), Al at (0.500, 0.500, 0.500), As at (0.000, 0.500, 0.000) and Br at (0.000, 0.000, 0.500).

---

Entry 5:
KAlAs2Br | PBE | relaxed

The calculation puts the energy above the most stable polymorph in this dataset at 0 meV/atom. The calculation puts the density of states at the Fermi level at 4.21 states/eV per cell.

The structure belongs to space group P4/mmm (No. 123); the cell edges are 4.828, 4.828 and 6.130 Å and the angles 90.00°, 90.00° and 90.00°. The asymmetric unit holds K at (0.000, 0.000, 0.000), Al at (0.500, 0.500, 0.500), As at (0.000, 0.500, 0.500) and Br at (0.500, 0.500, 0.000).

---

Entry 6:
LaAlAsBr2 | PBE | relaxed

The calculation puts the energy above the most stable polymorph in this dataset at 0 meV/atom. The calculation puts the density of states at the Fermi level at 4.30 states/eV per cell.

The structure belongs to space group P4/mmm (No. 123); the cell edges are 5.082, 5.082 and 5.111 Å and the angles 90.00°, 90.00° and 90.00°. The asymmetric unit holds La at (0.000, 0.000, 0.000), Al at (0.500, 0.500, 0.500), As at (0.500, 0.500, 0.000) and Br at (0.000, 0.500, 0.500).

---

Entry 7:
LaAlAsBr2 | PBE | relaxed

The calculation puts the energy above the most stable polymorph in this dataset at 163 meV/atom. The calculation puts the density of states at the Fermi level at 3.15 states/eV per cell.

The structure belongs to space group P4/mmm (No. 123); the cell edges are 5.815, 5.815 and 5.864 Å and the angles 90.00°, 90.00° and 90.00°. The asymmetric unit holds La at (0.000, 0.000, 0.000), Al at (0.500, 0.500, 0.500), As at (0.000, 0.000, 0.500) and Br at (0.000, 0.500, 0.000).

---

Entry 8:
La2AlAsBr | PBE | relaxed

The calculation puts the density of states at the Fermi level at 3.51 states/eV per cell. As for the total energy: -20.8 eV per cell.

The structure belongs to space group P4/mmm (No. 123); the cell edges are 5.809, 5.809 and 4.823 Å and the angles 90.00°, 90.00° and 90.00°. The asymmetric unit holds La at (0.000, 0.500, 0.000), Al at (0.000, 0.000, 0.000), As at (0.500, 0.500, 0.500) and Br at (0.000, 0.000, 0.500).

---

Entry 9:
LaAlAs2Br | PBE | relaxed

The calculation puts the energy above the most stable polymorph in this dataset at 0 meV/atom. The calculation puts the density of states at the Fermi level at 2.05 states/eV per cell.

The structure belongs to space group P4/mmm (No. 123); the cell edges are 4.903, 4.903 and 5.164 Å and the angles 90.00°, 90.00° and 90.00°. The asymmetric unit holds La at (0.000, 0.000, 0.000), Al at (0.500, 0.500, 0.500), As at (0.000, 0.500, 0.500) and Br at (0.500, 0.500, 0.000).

---

Entry 10:
LaAlAs2Br | PBE | relaxed

The calculation puts the energy above the most stable polymorph in this dataset at 709 meV/atom. The calculation puts the density of states at the Fermi level at 4.97 states/eV per cell.

The structure belongs to space group P4/mmm (No. 123); the cell edges are 5.755, 5.755 and 5.827 Å and the angles 90.00°, 90.00° and 90.00°. The asymmetric unit holds La at (0.000, 0.000, 0.000), Al at (0.500, 0.500, 0.500), As at (0.000, 0.500, 0.000) and Br at (0.000, 0.000, 0.500).

---

Entry 11:
MnAlAsBr2 | PBE | relaxed

The calculation puts the energy above the most stable polymorph in this dataset at 0 meV/atom. The calculation puts the density of states at the Fermi level at 1.48 states/eV per cell.

The structure belongs to space group P4/mmm (No. 123); the cell edges are 5.339, 5.339 and 4.757 Å and the angles 90.00°, 90.00° and 90.00°. The asymmetric unit holds Mn at (0.000, 0.000, 0.000), Al at (0.500, 0.500, 0.500), As at (0.000, 0.000, 0.500) and Br at (0.000, 0.500, 0.000).

---

Entry 12:
MnAlAsBr2 | PBE | relaxed

The calculation puts the energy above the most stable polymorph in this dataset at 115 meV/atom. The calculation puts the density of states at the Fermi level at 2.02 states/eV per cell.

The structure belongs to space group P4/mmm (No. 123); the cell edges are 4.957, 4.957 and 5.208 Å and the angles 90.00°, 90.00° and 90.00°. The asymmetric unit holds Mn at (0.000, 0.000, 0.000), Al at (0.500, 0.500, 0.500), As at (0.500, 0.500, 0.000) and Br at (0.000, 0.500, 0.500).

---

Entry 13:
AlMoAsBr2 | PBE | relaxed

The calculation puts the energy above the most stable polymorph in this dataset at 348 meV/atom. The calculation puts the density of states at the Fermi level at 3.08 states/eV per cell.

The structure belongs to space group P4/mmm (No. 123); the cell edges are 4.935, 4.935 and 5.177 Å and the angles 90.00°, 90.00° and 90.00°. The asymmetric unit holds Al at (0.000, 0.000, 0.000), Mo at (0.500, 0.500, 0.500), As at (0.000, 0.000, 0.500) and Br at (0.000, 0.500, 0.000).

---

Entry 14:
AlMoAsBr2 | PBE | relaxed

The calculation puts the energy above the most stable polymorph in this dataset at 0 meV/atom. The calculation puts the density of states at the Fermi level at 1.61 states/eV per cell.

The structure belongs to space group P4/mmm (No. 123); the cell edges are 5.359, 5.359 and 4.876 Å and the angles 90.00°, 90.00° and 90.00°. The asymmetric unit holds Al at (0.000, 0.000, 0.000), Mo at (0.500, 0.500, 0.500), As at (0.500, 0.500, 0.000) and Br at (0.000, 0.500, 0.500).

---

Entry 15:
AlAs2BrN | PBE | relaxed

The calculation puts the energy above the most stable polymorph in this dataset at 0 meV/atom. The calculation puts the density of states at the Fermi level at 2.90 states/eV per cell.

The structure belongs to space group P4/mmm (No. 123); the cell edges are 4.353, 4.353 and 4.781 Å and the angles 90.00°, 90.00° and 90.00°. The asymmetric unit holds Al at (0.000, 0.000, 0.000), As at (0.000, 0.500, 0.500), Br at (0.500, 0.500, 0.000) and N at (0.500, 0.500, 0.500).

---

Entry 16:
AlAsBr2N | PBE | relaxed

The calculation puts the energy above the most stable polymorph in this dataset at 0 meV/atom. The calculation puts the density of states at the Fermi level at 3.70 states/eV per cell.

The structure belongs to space group P4/mmm (No. 123); the cell edges are 5.973, 5.973 and 3.666 Å and the angles 90.00°, 90.00° and 90.00°. The asymmetric unit holds Al at (0.000, 0.000, 0.000), As at (0.500, 0.500, 0.000), Br at (0.000, 0.500, 0.500) and N at (0.500, 0.500, 0.500).

---

Entry 17:
AlAsBr2N | PBE | relaxed

The calculation puts the energy above the most stable polymorph in this dataset at 106 meV/atom. The calculation puts the density of states at the Fermi level at 0.97 states/eV per cell.

The structure belongs to space group P4/mmm (No. 123); the cell edges are 5.090, 5.090 and 5.155 Å and the angles 90.00°, 90.00° and 90.00°. The asymmetric unit holds Al at (0.000, 0.000, 0.000), As at (0.000, 0.000, 0.500), Br at (0.000, 0.500, 0.000) and N at (0.500, 0.500, 0.500).

---

Entry 18:
AlAs2BrN | PBE | relaxed

The calculation puts the energy above the most stable polymorph in this dataset at 424 meV/atom. The calculation puts the density of states at the Fermi level at 3.12 states/eV per cell.

The structure belongs to space group P4/mmm (No. 123); the cell edges are 4.947, 4.947 and 5.164 Å and the angles 90.00°, 90.00° and 90.00°. The asymmetric unit holds Al at (0.000, 0.000, 0.000), As at (0.000, 0.500, 0.000), Br at (0.000, 0.000, 0.500) and N at (0.500, 0.500, 0.500).

---

Entry 19:
NaAlAsBr2 | PBE | relaxed

The calculation puts the energy above the most stable polymorph in this dataset at 610 meV/atom. The calculation puts the density of states at the Fermi level at 0.94 states/eV per cell.

The structure belongs to space group P4/mmm (No. 123); the cell edges are 5.544, 5.544 and 5.598 Å and the angles 90.00°, 90.00° and 90.00°. The asymmetric unit holds Na at (0.000, 0.000, 0.000), Al at (0.500, 0.500, 0.500), As at (0.000, 0.000, 0.500) and Br at (0.000, 0.500, 0.000).

---

Entry 20:
NaAlAsBr2 | PBE | relaxed

The calculation puts the energy above the most stable polymorph in this dataset at 0 meV/atom. The calculation puts the density of states at the Fermi level at 2.33 states/eV per cell.

The structure belongs to space group P4/mmm (No. 123); the cell edges are 5.383, 5.383 and 4.869 Å and the angles 90.00°, 90.00° and 90.00°. The asymmetric unit holds Na at (0.000, 0.000, 0.000), Al at (0.500, 0.500, 0.500), As at (0.500, 0.500, 0.000) and Br at (0.000, 0.500, 0.500).